Entry 1:
# ReSnRh2, relaxed, DFT PBE
data_ReSnRh2
_chemical_formula_sum 'Re4 Sn4 Rh8'
_cell_length_a 5.5543
_cell_length_b 5.5543
_cell_length_c 12.2082
_cell_angle_alpha 90.00
_cell_angle_beta 90.00
_cell_angle_gamma 90.00
_symmetry_space_group_name_H-M 'I -4 2 d'
_symmetry_Int_Tables_number 122
_symmetry_space_group_name_Hall 'I -4 2bw'
loop_
_atom_site_label
_atom_site_type_symbol
_atom_site_fract_x
_atom_site_fract_y
_atom_site_fract_z
Re1 Re 0.0000 0.0000 0.0000
Sn1 Sn 0.0000 0.0000 0.5000
Rh1 Rh 0.2161 0.2500 0.1250
# total DFT energy (no corrections): -113.009 eV/cell

=====

Entry 2:
# TbPm5TmSc2, relaxed, DFT PBE
data_TbPm5TmSc2
_chemical_formula_sum 'Tb4 Pm20 Tm4 Sc8'
_cell_length_a 5.5197
_cell_length_b 20.2300
_cell_length_c 10.4500
_cell_angle_alpha 90.00
_cell_angle_beta 90.00
_cell_angle_gamma 90.00
_symmetry_space_group_name_H-M 'C m c 21'
_symmetry_Int_Tables_number 36
loop_
_symmetry_equiv_pos_as_xyz
'x,y,z'
'-x,-y,z+1/2'
'-x,y,z'
'x,-y,z+1/2'
'x+1/2,y+1/2,z'
'-x+1/2,-y+1/2,z+1/2'
'-x+1/2,y+1/2,z'
'x+1/2,-y+1/2,z+1/2'
loop_
_atom_site_label
_atom_site_type_symbol
_atom_site_fract_x
_atom_site_fract_y
_atom_site_fract_z
Tb1 Tb 0.0000 0.1924 0.0000
Pm1 Pm 0.0000 0.0110 0.9978
Pm2 Pm 0.0000 0.2739 0.3030
Pm3 Pm 0.0000 0.3012 0.6949
Pm4 Pm 0.0000 0.3806 0.0062
Pm5 Pm 0.0000 0.4824 0.7267
Tm1 Tm 0.0000 0.4068 0.4393
Sc1 Sc 0.0000 0.1110 0.2848
Sc2 Sc 0.0000 0.1138 0.7281
# total DFT energy (no corrections): -175.872 eV/cell

=====

Entry 3:
# Pa3Os4PbN12, relaxed, DFT PBE
data_Pa3Os4PbN12
_chemical_formula_sum 'Pa9 Os12 Pb3 N36'
_cell_length_a 11.3837
_cell_length_b 11.3837
_cell_length_c 9.2903
_cell_angle_alpha 90.00
_cell_angle_beta 90.00
_cell_angle_gamma 120.00
_symmetry_space_group_name_H-M 'R 3 2'
_symmetry_Int_Tables_number 155
_symmetry_space_group_name_Hall 'R 3 2"'
loop_
_atom_site_label
_atom_site_type_symbol
_atom_site_fract_x
_atom_site_fract_y
_atom_site_fract_z
Pa1 Pa 0.0000 0.5581 0.0000
Os1 Os 0.0000 0.0000 0.5000
Os2 Os 0.0000 0.4459 0.5000
Pb1 Pb 0.0000 0.0000 0.0000
N1 N 0.0000 0.6083 0.5000
N2 N 0.0000 0.8396 0.5000
N3 N 0.0376 0.2115 0.1915
# formation energy from raw total energies: -2.1 eV per formula unit
# total DFT energy (no corrections): -537.244 eV/cell

=====

Entry 4:
# LaHfFe2Hg, relaxed, DFT PBE
data_LaHfFe2Hg
_chemical_formula_sum 'La1 Hf1 Fe2 Hg1'
_cell_length_a 4.6081
_cell_length_b 4.6081
_cell_length_c 5.7820
_cell_angle_alpha 90.00
_cell_angle_beta 90.00
_cell_angle_gamma 90.00
_symmetry_space_group_name_H-M 'P 4/m m m'
_symmetry_Int_Tables_number 123
_symmetry_space_group_name_Hall '-P 4 2'
loop_
_atom_site_label
_atom_site_type_symbol
_atom_site_fract_x
_atom_site_fract_y
_atom_site_fract_z
La1 La 0.0000 0.0000 0.0000
Hf1 Hf 0.0000 0.0000 0.5000
Fe1 Fe 0.0000 0.5000 0.5000
Hg1 Hg 0.5000 0.5000 0.0000
# total DFT energy (no corrections): -25.932 eV/cell

=====

Entry 5:
# Be2GaNi, relaxed, DFT PBE
data_Be2GaNi
_chemical_formula_sum 'Be2 Ga1 Ni1'
_cell_length_a 3.4930
_cell_length_b 3.4930
_cell_length_c 3.3848
_cell_angle_alpha 90.00
_cell_angle_beta 90.00
_cell_angle_gamma 90.00
_symmetry_space_group_name_H-M 'P 4/m m m'
_symmetry_Int_Tables_number 123
_symmetry_space_group_name_Hall '-P 4 2'
loop_
_atom_site_label
_atom_site_type_symbol
_atom_site_fract_x
_atom_site_fract_y
_atom_site_fract_z
Be1 Be 0.0000 0.5000 0.0000
Ga1 Ga 0.0000 0.0000 0.5000
Ni1 Ni 0.5000 0.5000 0.5000
# total DFT energy (no corrections): -16.955 eV/cell

=====

Entry 6:
# CsHgBiF6, relaxed, DFT PBE
data_CsHgBiF6
_chemical_formula_sum 'Cs2 Hg2 Bi2 F12'
_cell_length_a 6.3646
_cell_length_b 11.0472
_cell_length_c 6.0548
_cell_angle_alpha 90.00
_cell_angle_beta 90.07
_cell_angle_gamma 90.00
_symmetry_space_group_name_H-M 'C 1 2 1'
_symmetry_Int_Tables_number 5
loop_
_symmetry_equiv_pos_as_xyz
'x,y,z'
'-x,y,-z'
'x+1/2,y+1/2,z'
'-x+1/2,y+1/2,-z'
loop_
_atom_site_label
_atom_site_type_symbol
_atom_site_fract_x
_atom_site_fract_y
_atom_site_fract_z
Cs1 Cs 0.0000 0.0000 0.0000
Hg1 Hg 0.0000 0.6664 0.5000
Bi1 Bi 0.0000 0.3334 0.5000
F1 F 0.1144 0.4958 0.2990
F2 F 0.1856 0.1946 0.2994
F3 F 0.1981 0.8096 0.2997
# formation energy from raw total energies: -19.9 eV per formula unit
# total DFT energy (no corrections): -72.348 eV/cell

=====

Entry 7:
# CaLaNbCu2, relaxed, DFT PBE
data_CaLaNbCu2
_chemical_formula_sum 'Ca1 La1 Nb1 Cu2'
_cell_length_a 4.9012
_cell_length_b 4.9012
_cell_length_c 5.3681
_cell_angle_alpha 90.00
_cell_angle_beta 90.00
_cell_angle_gamma 90.00
_symmetry_space_group_name_H-M 'P 4/m m m'
_symmetry_Int_Tables_number 123
_symmetry_space_group_name_Hall '-P 4 2'
loop_
_atom_site_label
_atom_site_type_symbol
_atom_site_fract_x
_atom_site_fract_y
_atom_site_fract_z
Ca1 Ca 0.0000 0.0000 0.0000
La1 La 0.0000 0.0000 0.5000
Nb1 Nb 0.5000 0.5000 0.0000
Cu1 Cu 0.0000 0.5000 0.5000
# total DFT energy (no corrections): -17.040 eV/cell

=====

Entry 8:
# TmTh2Co, relaxed, DFT PBE
data_TmTh2Co
_chemical_formula_sum 'Tm4 Th8 Co4'
_cell_length_a 6.9443
_cell_length_b 9.8715
_cell_length_c 6.1342
_cell_angle_alpha 90.00
_cell_angle_beta 90.00
_cell_angle_gamma 90.00
_symmetry_space_group_name_H-M 'P n m a'
_symmetry_Int_Tables_number 62
loop_
_symmetry_equiv_pos_as_xyz
'x,y,z'
'-x,-y,-z'
'-x+1/2,-y,z+1/2'
'x+1/2,y,-z+1/2'
'x+1/2,-y+1/2,-z+1/2'
'-x+1/2,y+1/2,z+1/2'
'-x,y+1/2,-z'
'x,-y+1/2,z'
loop_
_atom_site_label
_atom_site_type_symbol
_atom_site_fract_x
_atom_site_fract_y
_atom_site_fract_z
Tm1 Tm 0.0462 0.2500 0.1613
Th1 Th 0.1756 0.0675 0.6702
Co1 Co 0.1089 0.7500 0.3924
# total DFT energy (no corrections): -108.550 eV/cell

=====

Entry 9:
# LiZnI2, relaxed, DFT PBE
data_LiZnI2
_chemical_formula_sum 'Li4 Zn4 I8'
_cell_length_a 6.4914
_cell_length_b 6.4914
_cell_length_c 14.2401
_cell_angle_alpha 90.00
_cell_angle_beta 90.00
_cell_angle_gamma 90.00
_symmetry_space_group_name_H-M 'I -4 2 d'
_symmetry_Int_Tables_number 122
_symmetry_space_group_name_Hall 'I -4 2bw'
loop_
_atom_site_label
_atom_site_type_symbol
_atom_site_fract_x
_atom_site_fract_y
_atom_site_fract_z
Li1 Li 0.0000 0.0000 0.0000
Zn1 Zn 0.0000 0.0000 0.5000
I1 I 0.2360 0.2500 0.1250
# formation energy from raw total energies: -2.1 eV per formula unit
# total DFT energy (no corrections): -33.508 eV/cell

=====

Entry 10:
# Be4Rh5W, relaxed, DFT PBE
data_Be4Rh5W
_chemical_formula_sum 'Be4 Rh5 W1'
_cell_length_a 2.7977
_cell_length_b 2.7977
_cell_length_c 14.8960
_cell_angle_alpha 90.00
_cell_angle_beta 90.00
_cell_angle_gamma 90.00
_symmetry_space_group_name_H-M 'P 4/m m m'
_symmetry_Int_Tables_number 123
_symmetry_space_group_name_Hall '-P 4 2'
loop_
_atom_site_label
_atom_site_type_symbol
_atom_site_fract_x
_atom_site_fract_y
_atom_site_fract_z
Be1 Be 0.0000 0.0000 0.0933
Be2 Be 0.0000 0.0000 0.2783
Rh1 Rh 0.5000 0.5000 0.0000
Rh2 Rh 0.5000 0.5000 0.1873
Rh3 Rh 0.5000 0.5000 0.3747
W1 W 0.0000 0.0000 0.5000
# total DFT energy (no corrections): -70.047 eV/cell

=====

Entry 11:
# BeHgGe, relaxed, DFT PBE
data_BeHgGe
_chemical_formula_sum 'Be4 Hg4 Ge4'
_cell_length_a 6.2158
_cell_length_b 3.5896
_cell_length_c 11.7008
_cell_angle_alpha 90.00
_cell_angle_beta 90.64
_cell_angle_gamma 90.00
_symmetry_space_group_name_H-M 'C 1 m 1'
_symmetry_Int_Tables_number 8
loop_
_symmetry_equiv_pos_as_xyz
'x,y,z'
'x,-y,z'
'x+1/2,y+1/2,z'
'x+1/2,-y+1/2,z'
loop_
_atom_site_label
_atom_site_type_symbol
_atom_site_fract_x
_atom_site_fract_y
_atom_site_fract_z
Be1 Be 0.0000 0.0000 0.0000
Be2 Be 0.1666 0.5000 0.0021
Hg1 Hg 0.1655 0.5000 0.6370
Hg2 Hg 0.3293 0.0000 0.3998
Ge1 Ge 0.3306 0.0000 0.8786
Ge2 Ge 0.3358 0.0000 0.1222
# total DFT energy (no corrections): -32.262 eV/cell

=====

Entry 12:
# NaMgTa2Ti, relaxed, DFT PBE
data_NaMgTa2Ti
_chemical_formula_sum 'Na1 Mg1 Ta2 Ti1'
_cell_length_a 4.8129
_cell_length_b 4.8129
_cell_length_c 4.4969
_cell_angle_alpha 90.00
_cell_angle_beta 90.00
_cell_angle_gamma 90.00
_symmetry_space_group_name_H-M 'P 4/m m m'
_symmetry_Int_Tables_number 123
_symmetry_space_group_name_Hall '-P 4 2'
loop_
_atom_site_label
_atom_site_type_symbol
_atom_site_fract_x
_atom_site_fract_y
_atom_site_fract_z
Na1 Na 0.0000 0.0000 0.0000
Mg1 Mg 0.0000 0.0000 0.5000
Ta1 Ta 0.0000 0.5000 0.0000
Ti1 Ti 0.5000 0.5000 0.5000
# total DFT energy (no corrections): -24.882 eV/cell